# 1
Below is a geometry-optimized YCo2SiH structure, with properties calculated at the GGA-PBE level.

## Properties
Crystal system: orthorhombic
Total magnetization: 0.29 μB/f.u.
Density: 6.28 g/cm3
Raw total energy: -32.4 eV per formula unit

a = 3.6195 Å, b = 10.1947 Å, c = 6.7576 Å
α = 90.00°, β = 90.00°, γ = 90.00°
With the nearest neighbours (Å) after each atom.
Space group Cmcm (No. 63)
Inequivalent atoms, fractional coordinates:
Y 0.0000 0.0572 0.2500 x4  4 H 2.54
Co 0.0000 0.3376 0.0574 x8  1 H 1.70
Si 0.0000 0.2232 0.7500 x4  6 Co 2.31-2.38
H 0.0000 0.5000 0.0000 x4  2 Co 1.70

# 2
Below is a geometry-optimized PmErCo2 structure, with properties calculated at the GGA-PBE level.

## Properties
Crystal system: cubic
Distance to the lowest polymorph of the same formula: 78 meV per atom
Total magnetization: 0.69 μB/f.u.
Density: 9.32 g/cm3
Energy of formation: -80 meV per atom
Raw total energy: -23.8 eV per formula unit

a = 6.7431 Å, b = 6.7431 Å, c = 6.7431 Å
α = 90.00°, β = 90.00°, γ = 90.00°
With the nearest neighbours (Å) after each atom.
Space group Fm-3m (No. 225)
Inequivalent atoms, fractional coordinates:
Pm 0.0000 0.0000 0.0000 x4  8 Co 2.92
Er 0.0000 0.0000 0.5000 x4  8 Co 2.92
Co 0.2500 0.2500 0.2500 x8  4 Er 2.92, 4 Pm 2.92

# 3
Below is a geometry-optimized Co2AgH structure, with properties calculated at the GGA-PBE level.

## Properties
Crystal system: orthorhombic
Distance to the lowest polymorph of the same formula: 83 meV per atom
Total magnetization: 3.03 μB/f.u.
Density: 8.64 g/cm3
Raw total energy: -19.3 eV per formula unit

a = 4.8150 Å, b = 4.9043 Å, c = 7.3852 Å
α = 90.00°, β = 90.00°, γ = 90.00°
With the nearest neighbours (Å) after each atom.
Space group Imm2 (No. 44)
Inequivalent atoms, fractional coordinates:
Co 0.0000 0.2484 0.0000 x4  2 H 1.71
Co 0.2427 0.0000 0.2750 x4  1 H 1.67
Ag 0.0000 0.0000 0.6245 x2  4 H 2.81, 12 Co 2.83-3.03, 2 Ag 2.87
Ag 0.0000 0.5000 0.3349 x2  2 H 2.02
H 0.2379 0.0000 0.0490 x4  3 Co 1.67-1.71

# 4
Below is a geometry-optimized RbMo2W structure, with properties calculated at the GGA-PBE level.

## Properties
Crystal system: tetragonal
Distance to the lowest polymorph of the same formula: 237 meV per atom
Total magnetization: 0.00 μB/f.u.
Density: 6.60 g/cm3
Energy of formation: 2046 meV per atom
Raw total energy: -27.4 eV per formula unit

a = 5.1926 Å, b = 5.1926 Å, c = 17.2187 Å
α = 90.00°, β = 90.00°, γ = 90.00°
With the nearest neighbours (Å) after each atom.
Space group I4_1/amd (No. 141, origin choice 2)
Inequivalent atoms, fractional coordinates:
Rb 0.0000 0.2500 0.3750 x4  8 Mo 3.61, 4 W 3.67
Mo 0.0000 0.0000 0.0000 x8  2 W 2.51, 2 Mo 2.60
W 0.0000 0.2500 0.8750 x4  4 Mo 2.51

# 5
Below is a geometry-optimized Na3Ca2BiO6 structure, with properties calculated at the GGA-PBE level.

## Properties
Crystal system: orthorhombic
Distance to the lowest polymorph of the same formula: 0 meV per atom
Total magnetization: 0.00 μB/f.u.
Density: 4.51 g/cm3
E_form (uncorrected): -1.935 eV per atom
Raw total energy: -64.8 eV per formula unit

a = 6.7900 Å, b = 9.7468 Å, c = 20.1934 Å
α = 90.00°, β = 90.00°, γ = 90.00°
With the nearest neighbours (Å) after each atom.
Space group Fddd (No. 70, origin choice 2)
Inequivalent atoms, fractional coordinates:
Na 0.1250 0.1250 0.1250 x8  6 O 2.44-2.70
Na 0.1250 0.1250 0.2886 x16  6 O 2.45-2.56
Ca 0.1250 0.1250 0.4556 x16  6 O 2.37-2.41
Bi 0.1250 0.1250 0.6250 x8  6 O 2.17-2.18
O 0.0997 0.3698 0.7976 x32  1 Bi 2.18, 2 Ca 2.39-2.41, 1 Na 2.44
O 0.1250 0.3480 0.6250 x16  1 Bi 2.17, 2 Ca 2.37

# 6
Below is a geometry-optimized Tb3SbRu structure, with properties calculated at the GGA-PBE level.

## Properties
Crystal system: monoclinic
Total magnetization: 0.00 μB/f.u.
Density: 8.50 g/cm3
E_form (uncorrected): -0.523 eV per atom
Raw total energy: -29.9 eV per formula unit

a = 13.1781 Å, b = 10.8863 Å, c = 7.6171 Å
α = 90.00°, β = 90.00°, γ = 90.00°
With the nearest neighbours (Å) after each atom.
Space group C2/c (No. 15)
Inequivalent atoms, fractional coordinates:
Tb 0.1113 0.0795 0.4058 x8  2 Ru 2.83-2.85, 1 Sb 3.16
Tb 0.1120 0.4209 0.5940 x8  2 Ru 2.84-2.85, 1 Sb 3.16
Tb 0.2498 0.1802 0.8000 x8  3 Ru 2.84-2.98
Sb 0.0000 0.1682 0.7500 x4  8 Tb 3.16-3.34
Sb 0.0000 0.3324 0.2500 x4  8 Tb 3.16-3.34
Ru 0.2495 0.0513 0.1236 x8  7 Tb 2.83-2.98

# 7
Below is a geometry-optimized Li6Mg8Tl structure, with properties calculated at the GGA-PBE level.

## Properties
Crystal system: trigonal
Total magnetization: 0.00 μB/f.u.
Density: 2.14 g/cm3
Energy of formation: 57 meV per atom
Raw total energy: -25.8 eV per formula unit

a = 8.1719 Å, b = 8.1719 Å, c = 17.6955 Å
α = 90.00°, β = 90.00°, γ = 120.00°
With the nearest neighbours (Å) after each atom.
Space group R-3 (No. 148, hexagonal axes)
Inequivalent atoms, fractional coordinates:
Li 0.0006 0.6758 0.4540 x18  1 Tl 2.77, 7 Mg 2.86-3.08
Mg 0.0000 0.0000 0.1621 x6  6 Li 2.86-2.90
Mg 0.0080 0.3520 0.3823 x18  5 Li 2.90-3.08, 2 Mg 3.22
Tl 0.0000 0.0000 0.5000 x3  6 Li 2.77

# 8
Below is a geometry-optimized TbTm2SnC structure, with properties calculated at the GGA-PBE level.

## Properties
Crystal system: tetragonal
Total magnetization: 0.00 μB/f.u.
Density: 9.15 g/cm3
Energy of formation: -645 meV per atom
Raw total energy: -30.0 eV per formula unit

a = 4.8120 Å, b = 4.8120 Å, c = 4.9172 Å
α = 90.00°, β = 90.00°, γ = 90.00°
With the nearest neighbours (Å) after each atom.
Space group P4/mmm (No. 123)
Inequivalent atoms, fractional coordinates:
Tb 0.0000 0.0000 0.0000 x1  2 C 2.46
Tm 0.0000 0.5000 0.5000 x2  2 C 2.41
Sn 0.5000 0.5000 0.0000 x1  4 Tb 3.40, 8 Tm 3.44
C 0.0000 0.0000 0.5000 x1  4 Tm 2.41, 2 Tb 2.46

# 9
Below is a geometry-optimized KHfAs structure, with properties calculated at the GGA-PBE level.

## Properties
Crystal system: tetragonal
Total magnetization: 0.00 μB/f.u.
Density: 4.61 g/cm3
Energy of formation: -516 meV per atom
Raw total energy: -17.2 eV per formula unit

a = 4.4344 Å, b = 4.4344 Å, c = 10.7058 Å
α = 90.00°, β = 90.00°, γ = 90.00°
With the nearest neighbours (Å) after each atom.
Space group P4/nmm (No. 129, origin choice 2)
Inequivalent atoms, fractional coordinates:
K 0.2500 0.2500 0.1887 x2  4 As 3.61, 4 Hf 4.00
Hf 0.2500 0.7500 0.5000 x2  4 As 2.70
As 0.2500 0.2500 0.6443 x2  4 Hf 2.70